# GGA-PBE La5SmCd2, relaxed
data_La5SmCd2
_cell_length_a 7.126
_cell_length_b 14.237
_cell_length_c 5.062
_cell_angle_alpha 90.00
_cell_angle_beta 90.00
_cell_angle_gamma 90.00
_symmetry_space_group_name_H-M 'P b a m'
_symmetry_Int_Tables_number 55
_symmetry_space_group_name_Hall '-P 2 2ab'
loop_
_atom_site_label
_atom_site_type_symbol
_atom_site_fract_x
_atom_site_fract_y
_atom_site_fract_z
La1 La 0.000 0.000 0.000
La2 La 0.007 0.249 0.000
La3 La 0.242 0.377 0.500
Sm1 Sm 0.000 0.500 0.000
Cd1 Cd 0.247 0.623 0.500
# **M_tot**: 0.0 μB/f.u.
# **E_form**: -0.131 eV/atom
# **ρ**: 6.9 g/cm3

# GGA-PBE K2AlCu, relaxed
data_K2AlCu
_cell_length_a 3.8375
_cell_length_b 3.8375
_cell_length_c 31.7729
_cell_angle_alpha 90.00
_cell_angle_beta 90.00
_cell_angle_gamma 120.00
_symmetry_space_group_name_H-M 'R -3 m'
_symmetry_Int_Tables_number 166
_symmetry_space_group_name_Hall '-R 3 2"'
loop_
_atom_site_label
_atom_site_type_symbol
_atom_site_fract_x
_atom_site_fract_y
_atom_site_fract_z
K1 K 0.0000 0.0000 0.2411
Al1 Al 0.0000 0.0000 0.0000
Cu1 Cu 0.0000 0.0000 0.5000
# **M_tot**: 0.0 μB/f.u.
# **E_form**: 0.611 eV/atom
# **ρ**: 2.1 g/cm3

# GGA-PBE Ca2Cu2P, relaxed
data_Ca2Cu2P
_cell_length_a 3.519
_cell_length_b 3.519
_cell_length_c 16.695
_cell_angle_alpha 90.00
_cell_angle_beta 90.00
_cell_angle_gamma 90.00
_symmetry_space_group_name_H-M 'I 4/m m m'
_symmetry_Int_Tables_number 139
_symmetry_space_group_name_Hall '-I 4 2'
loop_
_atom_site_label
_atom_site_type_symbol
_atom_site_fract_x
_atom_site_fract_y
_atom_site_fract_z
Ca1 Ca 0.000 0.000 0.097
Cu1 Cu 0.000 0.500 0.250
P1 P 0.000 0.000 0.500
# **Energy above the lowest structure with this stoichiometry**: 0.0000 eV per atom
# **M_tot**: 0.0 μB/f.u.
# **E_form**: -0.356 eV/atom
# **ρ**: 3.8 g/cm3